First-principles (PBE) data for a relaxed structure of Ba2Na15Li2, as listed in Alexandria via LeMat-Bulk.

* energy of formation: 0.04 eV/atom
* M_tot: 0.00 μB per cell

CIF file:
```
data_Ba2Na15Li2
_space_group_name_H-M_alt 'R -3 m'
_space_group_IT_number 166
_space_group_name_Hall '-R 3 2"'
_cell_length_a 11.9504
_cell_length_b 11.9504
_cell_length_c 17.8197
_cell_angle_alpha 90.00
_cell_angle_beta 90.00
_cell_angle_gamma 120.00
loop_
_atom_site_label
_atom_site_type_symbol
_atom_site_fract_x
_atom_site_fract_y
_atom_site_fract_z
Ba1 Ba 0.0000 0.0000 0.1631
Na1 Na 0.0000 0.2888 0.5000
Na2 Na 0.0000 0.5000 0.0000
Na3 Na 0.0011 0.5005 0.3522
Li1 Li 0.0000 0.0000 0.4062
```